(1)
! NaZrTl2Cl6, optimized geometry, DFT GGA-PBE; values from VASP
&SYSTEM
  ibrav = 0, nat = 20, ntyp = 4
/
ATOMIC_SPECIES
Tl 204.38 Tl.upf
Zr 91.22 Zr.upf
Cl 35.45 Cl.upf
Na 22.99 Na.upf
ATOMIC_POSITIONS crystal
Tl 0.1448 0.1448 0.5656
Tl 0.8552 0.8552 0.4344
Tl 0.3090 0.3090 0.0730
Tl 0.6910 0.6910 0.9270
Zr 0.5000 0.5000 0.5000
Zr 0.0000 0.0000 0.0000
Cl 0.8640 0.3733 0.3894
Cl 0.3733 0.8640 0.3894
Cl 0.2011 0.7059 0.8919
Cl 0.3733 0.3733 0.3894
Cl 0.2011 0.2011 0.8919
Cl 0.7989 0.2941 0.1081
Cl 0.7059 0.2011 0.8919
Cl 0.6267 0.6267 0.6106
Cl 0.6267 0.1360 0.6106
Cl 0.2941 0.7989 0.1081
Cl 0.7989 0.7989 0.1081
Cl 0.1360 0.6267 0.6106
Na 0.4138 0.4138 0.7587
Na 0.5862 0.5862 0.2413
CELL_PARAMETERS angstrom
7.4169 0.0000 0.0000
3.7085 6.4233 0.0000
3.7085 2.1411 13.1605
! - Energy: -3.99 eV per atom
! - Size of the total moment: 1.006 μB per formula unit
! - Formation energy (no corrections): -1.42 eV per atom

(2)
! Na2TmCl5, optimized geometry, DFT GGA-PBE; values from VASP
&SYSTEM
  ibrav = 0, nat = 16, ntyp = 3
/
ATOMIC_SPECIES
Na 22.99 Na.upf
Cl 35.45 Cl.upf
Tm 168.93 Tm.upf
ATOMIC_POSITIONS crystal
Na 0.8550 0.7100 0.0566
Na 0.1450 0.2900 0.9434
Na 0.8550 0.7100 0.4434
Na 0.1450 0.2900 0.5566
Cl 0.9547 0.9093 0.6214
Cl 0.6994 0.3988 0.5991
Cl 0.3006 0.6012 0.0991
Cl 0.0453 0.0907 0.1214
Cl 0.2891 0.5782 0.7500
Cl 0.7109 0.4218 0.2500
Cl 0.3006 0.6012 0.4009
Cl 0.9547 0.9093 0.8786
Cl 0.0453 0.0907 0.3786
Cl 0.6994 0.3988 0.9009
Tm 0.1793 0.3586 0.2500
Tm 0.8207 0.6414 0.7500
CELL_PARAMETERS angstrom
5.2562 0.0000 0.0000
-2.6281 6.9410 0.0000
0.0000 0.0000 13.5480
! - Energy: -4.08 eV per atom
! - Size of the total moment: 0.000 μB per formula unit
! - Formation energy (no corrections): -2.03 eV per atom
! - Excess energy over the best structure of this formula in the dataset: 0.00 eV per formula unit

(3)
! NaTmCl3, optimized geometry, DFT GGA-PBE; values from VASP
&SYSTEM
  ibrav = 0, nat = 10, ntyp = 3
/
ATOMIC_SPECIES
Cl 35.45 Cl.upf
Tm 168.93 Tm.upf
Na 22.99 Na.upf
ATOMIC_POSITIONS crystal
Cl 0.7502 0.1648 0.8349
Cl 0.7500 0.6699 0.8350
Cl 0.2500 0.3301 0.1649
Cl 0.2498 0.8352 0.1650
Cl 0.7498 0.1648 0.3300
Cl 0.2502 0.8352 0.6700
Tm 0.5000 0.0000 0.0000
Tm 0.0000 0.0000 0.0000
Na 0.2502 0.3327 0.6667
Na 0.7498 0.6673 0.3336
CELL_PARAMETERS angstrom
-0.6674 3.4591 5.4436
-7.0986 -2.0141 0.4056
5.2060 -4.1135 3.2582
! - Energy: -3.97 eV per atom
! - Size of the total moment: 0.000 μB per formula unit
! - Formation energy (no corrections): -1.70 eV per atom

(4)
! Na2TmCl5, optimized geometry, DFT GGA-PBE; values from VASP
&SYSTEM
  ibrav = 0, nat = 32, ntyp = 3
/
ATOMIC_SPECIES
Na 22.99 Na.upf
Cl 35.45 Cl.upf
Tm 168.93 Tm.upf
ATOMIC_POSITIONS crystal
Na 0.5250 0.9959 0.1757
Na 0.4750 0.4959 0.8243
Na 0.4750 0.0041 0.8243
Na 0.0250 0.0041 0.3243
Na 0.9750 0.9959 0.6757
Na 0.0250 0.4959 0.3243
Na 0.9750 0.5041 0.6757
Na 0.5250 0.5041 0.1757
Cl 0.3402 0.5448 0.5846
Cl 0.1329 0.7500 0.8199
Cl 0.3176 0.2500 0.2968
Cl 0.6824 0.7500 0.7032
Cl 0.6598 0.0448 0.4154
Cl 0.8671 0.2500 0.1801
Cl 0.1598 0.5448 0.0846
Cl 0.5675 0.7500 0.9855
Cl 0.6598 0.4552 0.4154
Cl 0.3671 0.7500 0.3199
Cl 0.8402 0.0448 0.9154
Cl 0.3402 0.9552 0.5846
Cl 0.4325 0.2500 0.0145
Cl 0.8402 0.4552 0.9154
Cl 0.9325 0.7500 0.4855
Cl 0.8176 0.7500 0.2032
Cl 0.6329 0.2500 0.6801
Cl 0.1598 0.9552 0.0846
Cl 0.1824 0.2500 0.7968
Cl 0.0675 0.2500 0.5145
Tm 0.5798 0.7500 0.4926
Tm 0.9202 0.7500 0.9926
Tm 0.4202 0.2500 0.5074
Tm 0.0798 0.2500 0.0074
CELL_PARAMETERS angstrom
-0.0480 -5.9519 4.9166
7.0351 -2.7068 -3.2081
6.1806 6.5682 8.0118
! - Energy: -4.06 eV per atom
! - Size of the total moment: 0.000 μB per formula unit
! - Formation energy (no corrections): -2.02 eV per atom
! - Excess energy over the best structure of this formula in the dataset: 0.09 eV per formula unit

(5)
! NaUCl4, optimized geometry, DFT GGA-PBE; values from VASP
&SYSTEM
  ibrav = 0, nat = 12, ntyp = 3
/
ATOMIC_SPECIES
U 238.03 U.upf
Cl 35.45 Cl.upf
Na 22.99 Na.upf
ATOMIC_POSITIONS crystal
U 0.5000 0.0000 0.5000
U 0.0000 0.0000 0.0000
Cl 0.5001 0.6521 0.3952
Cl 0.9999 0.6521 0.8952
Cl 0.0000 0.1107 0.3811
Cl 0.0001 0.3479 0.1048
Cl 0.5000 0.1107 0.8811
Cl 0.4999 0.3479 0.6048
Cl 0.0000 0.8893 0.6189
Cl 0.5000 0.8893 0.1189
Na 0.0000 0.5000 0.5000
Na 0.5000 0.5000 0.0000
CELL_PARAMETERS angstrom
4.2134 0.0000 0.0000
0.0000 7.3310 -1.2127
0.0000 -0.0262 12.7734
! - Energy: -5.02 eV per atom
! - Size of the total moment: 3.000 μB per formula unit
! - Formation energy (no corrections): -1.69 eV per atom

(6)
! Na3UCl8, optimized geometry, DFT GGA-PBE; values from VASP
&SYSTEM
  ibrav = 0, nat = 12, ntyp = 3
/
ATOMIC_SPECIES
Cl 35.45 Cl.upf
Na 22.99 Na.upf
U 238.03 U.upf
ATOMIC_POSITIONS crystal
Cl 0.7670 0.2330 0.2330
Cl 0.7670 0.7670 0.2330
Cl 0.7670 0.7670 0.7670
Cl 0.2330 0.7670 0.2330
Cl 0.2330 0.2330 0.2330
Cl 0.2330 0.7670 0.7670
Cl 0.7670 0.2330 0.7670
Cl 0.2330 0.2330 0.7670
Na 0.5000 0.0000 0.5000
Na 0.0000 0.5000 0.5000
Na 0.5000 0.5000 0.0000
U 0.0000 0.0000 0.0000
CELL_PARAMETERS angstrom
6.7392 0.0000 0.0000
0.0000 6.7392 0.0000
0.0000 0.0000 6.7392
! - Energy: -4.10 eV per atom
! - Size of the total moment: 1.000 μB per formula unit
! - Formation energy (no corrections): -1.60 eV per atom

(7)
! NaUCl5, optimized geometry, DFT GGA-PBE; values from VASP
&SYSTEM
  ibrav = 0, nat = 14, ntyp = 3
/
ATOMIC_SPECIES
Cl 35.45 Cl.upf
U 238.03 U.upf
Na 22.99 Na.upf
ATOMIC_POSITIONS crystal
Cl 0.3042 0.1691 0.3634
Cl 0.1016 0.8984 0.7500
Cl 0.8309 0.6958 0.1366
Cl 0.1691 0.3042 0.8634
Cl 0.2420 0.6520 0.4688
Cl 0.8984 0.1016 0.2500
Cl 0.3480 0.7580 0.0312
Cl 0.7580 0.3480 0.5312
Cl 0.6958 0.8309 0.6366
Cl 0.6520 0.2420 0.9688
U 0.0000 0.0000 0.5000
U 0.0000 0.0000 0.0000
Na 0.4760 0.5240 0.7500
Na 0.5240 0.4760 0.2500
CELL_PARAMETERS angstrom
-2.4414 1.2580 -6.7159
5.1450 -1.6084 -4.8568
-2.1059 -8.9085 -5.1421
! - Energy: -4.85 eV per atom
! - Size of the total moment: 2.000 μB per formula unit
! - Formation energy (no corrections): -1.73 eV per atom

(8)
! Na2UCl6, optimized geometry, DFT GGA-PBE; values from VASP
&SYSTEM
  ibrav = 0, nat = 18, ntyp = 3
/
ATOMIC_SPECIES
Cl 35.45 Cl.upf
Na 22.99 Na.upf
U 238.03 U.upf
ATOMIC_POSITIONS crystal
Cl 0.3077 0.3077 0.6550
Cl 0.1923 0.8077 0.1550
Cl 0.8077 0.1923 0.8450
Cl 0.1923 0.8077 0.8450
Cl 0.2855 0.2855 0.0000
Cl 0.8077 0.1923 0.1550
Cl 0.7145 0.7145 0.0000
Cl 0.2145 0.7855 0.5000
Cl 0.3077 0.3077 0.3450
Cl 0.7855 0.2145 0.5000
Cl 0.6923 0.6923 0.6550
Cl 0.6923 0.6923 0.3450
Na 0.0000 0.0000 0.3352
Na 0.5000 0.5000 0.8352
Na 0.5000 0.5000 0.1648
Na 0.0000 0.0000 0.6648
U 0.5000 0.5000 0.5000
U 0.0000 0.0000 0.0000
CELL_PARAMETERS angstrom
6.5641 0.0000 0.0000
0.0000 6.5641 0.0000
0.0000 0.0000 12.4698
! - Energy: -4.56 eV per atom
! - Size of the total moment: 2.000 μB per formula unit
! - Formation energy (no corrections): -1.78 eV per atom
! - Excess energy over the best structure of this formula in the dataset: 0.00 eV per formula unit

(9)
! Na2UCl8, optimized geometry, DFT GGA-PBE; values from VASP
&SYSTEM
  ibrav = 0, nat = 11, ntyp = 3
/
ATOMIC_SPECIES
Cl 35.45 Cl.upf
U 238.03 U.upf
Na 22.99 Na.upf
ATOMIC_POSITIONS crystal
Cl 0.9773 0.2258 0.9546
Cl 0.4320 0.6910 0.8641
Cl 0.0227 0.7742 0.0454
Cl 0.5680 0.3090 0.1359
Cl 0.6111 0.8230 0.2223
Cl 0.2181 0.2666 0.4363
Cl 0.3889 0.1770 0.7777
Cl 0.7819 0.7334 0.5637
U 0.5000 0.0000 0.0000
Na 0.7735 0.2593 0.5470
Na 0.2265 0.7407 0.4530
CELL_PARAMETERS angstrom
4.8095 0.0000 0.0000
0.0000 6.1630 1.0652
-2.4047 -1.2733 10.4821
! - Energy: -4.00 eV per atom
! - Size of the total moment: 0.089 μB per formula unit
! - Formation energy (no corrections): -1.39 eV per atom